Density functional theory data (PBE) for a geometry-optimized K2Tl3Sb2 structure.

Cell lengths 4.8922, 6.7048, 8.6199 Å; angles 106.88, 90.00, 111.40 degrees
With the nearest neighbours (Å) after each atom.
Fractional coordinates of all 7 atoms:
K 0.8578 0.7156 0.2158  4 Sb 3.60-3.87, 4 Tl 3.72-3.83
K 0.1422 0.2844 0.7842  4 Sb 3.60-3.87, 4 Tl 3.72-3.83
Tl 0.5000 0.0000 0.0000  4 Sb 3.36, 2 Tl 3.71
Tl 0.6223 0.2447 0.4517  3 Sb 3.16-3.23, 1 Tl 3.41
Tl 0.3777 0.7553 0.5483  3 Sb 3.16-3.23, 1 Tl 3.41
Sb 0.8484 0.6969 0.7633  5 Tl 3.16-3.36
Sb 0.1516 0.3031 0.2367  5 Tl 3.16-3.36

DFT total energy in Ry/atom: -0.2002
Formation energy from raw total energies in eV/atom: -0.22
Size of the total moment in μB/cell: 0.0